TlAgSe2 after structural relaxation. Source: the Alexandria database, functional GGA-PBE.

* calculated volume: 96.5 Å³/cell
* VASP energy: -0.11139 hartree per atom
* spin magnetization: 0.00 μB/cell
* SG: No. 25
* formation energy from raw total energies: 16 meV per atom

Cell lengths 5.4642, 5.6685, 3.1169 Å; angles 90.00, 90.00, 90.00 degrees
Fractional positions:
Tl 0.0000 0.0000 0.0000
Ag 0.5000 0.5000 0.5672
Se 0.0000 0.5000 0.7729
Se 0.5000 0.0000 0.4177

TiNi2Rh2 after structural relaxation. Source: the Alexandria database, functional GGA-PBE.

* calculated volume: 138.1 Å³/cell
* VASP energy: -0.25486 hartree per atom
* excess energy over the best structure of this formula in the dataset: 0.082 eV/atom
* spin magnetization: 0.00 μB/cell
* SG: No. 127
* calculated formation energy: -103 meV/atom

Cell lengths 6.8230, 6.8230, 2.9669 Å; angles 90.00, 90.00, 90.00 degrees
Fractional positions:
Ti 0.0000 0.0000 0.0000
Ti 0.5000 0.5000 0.0000
Ni 0.1623 0.3377 0.5000
Ni 0.3377 0.8377 0.5000
Ni 0.6623 0.1623 0.5000
Ni 0.8377 0.6623 0.5000
Rh 0.1368 0.6368 0.0000
Rh 0.3632 0.1368 0.0000
Rh 0.6368 0.8632 0.0000
Rh 0.8632 0.3632 0.0000

LiDy3Pd12 after structural relaxation. Source: the Alexandria database, functional GGA-PBE.

* calculated volume: 269.8 Å³/cell
* VASP energy: -0.20536 hartree per atom
* spin magnetization: 0.00 μB/cell
* SG: No. 123
* calculated formation energy: -711 meV/atom

Cell lengths 4.1000, 4.1000, 16.0481 Å; angles 90.00, 90.00, 90.00 degrees
Fractional positions:
Li 0.0000 0.0000 0.0000
Dy 0.0000 0.0000 0.2421
Dy 0.0000 0.0000 0.5000
Dy 0.0000 0.0000 0.7579
Pd 0.0000 0.5000 0.1137
Pd 0.0000 0.5000 0.3709
Pd 0.0000 0.5000 0.6291
Pd 0.0000 0.5000 0.8863
Pd 0.5000 0.0000 0.1137
Pd 0.5000 0.0000 0.3709
Pd 0.5000 0.0000 0.6291
Pd 0.5000 0.0000 0.8863
Pd 0.5000 0.5000 0.0000
Pd 0.5000 0.5000 0.2413
Pd 0.5000 0.5000 0.5000
Pd 0.5000 0.5000 0.7587

ThAgCl6 after structural relaxation. Source: the Alexandria database, functional GGA-PBE.

* calculated volume: 291.4 Å³/cell
* VASP energy: -0.14945 hartree per atom
* excess energy over the best structure of this formula in the dataset: 0.008 eV/atom
* spin magnetization: 1.05 μB/cell
* SG: No. 12
* formation energy from raw total energies: -1398 meV per atom

Cell lengths 6.9577, 6.9577, 6.9101 Å; angles 92.49, 92.49, 119.04 degrees
Fractional positions:
Th 0.0000 0.0000 0.0000
Ag 0.0000 0.0000 0.5000
Cl 0.0076 0.3084 0.7763
Cl 0.2788 0.2788 0.3063
Cl 0.3084 0.0076 0.7763
Cl 0.6916 0.9924 0.2237
Cl 0.7212 0.7212 0.6937
Cl 0.9924 0.6916 0.2237

SrPuHfN3 after structural relaxation. Source: the Alexandria database, functional GGA-PBE.

* calculated volume: 211.2 Å³/cell
* VASP energy: -0.35507 hartree per atom
* spin magnetization: 9.17 μB/cell
* SG: No. 11
* formation energy from raw total energies: -1171 meV per atom

Cell lengths 6.9349, 3.3849, 9.0807 Å; angles 90.00, 97.69, 90.00 degrees
Fractional positions:
Sr 0.0947 0.2500 0.3386
Sr 0.9053 0.7500 0.6614
Pu 0.2919 0.2500 0.9224
Pu 0.7081 0.7500 0.0776
Hf 0.4193 0.7500 0.6288
Hf 0.5807 0.2500 0.3712
N 0.2089 0.2500 0.6685
N 0.3742 0.7500 0.3934
N 0.4767 0.7500 0.8794
N 0.5233 0.2500 0.1206
N 0.6258 0.2500 0.6066
N 0.7911 0.7500 0.3315

Sc3Co after structural relaxation. Source: the Alexandria database, functional GGA-PBE.

* calculated volume: 322.8 Å³/cell
* VASP energy: -0.24841 hartree per atom
* spin magnetization: 0.00 μB/cell
* SG: No. 62
* calculated formation energy: -234 meV/atom

Cell lengths 6.4398, 8.5360, 5.8724 Å; angles 90.00, 90.00, 90.00 degrees
Fractional positions:
Sc 0.0385 0.2500 0.1206
Sc 0.1783 0.0618 0.6786
Sc 0.1783 0.4382 0.6786
Sc 0.3217 0.5618 0.1786
Sc 0.3217 0.9382 0.1786
Sc 0.4615 0.7500 0.6206
Sc 0.5385 0.2500 0.3794
Sc 0.6783 0.0618 0.8214
Sc 0.6783 0.4382 0.8214
Sc 0.8217 0.5618 0.3214
Sc 0.8217 0.9382 0.3214
Sc 0.9615 0.7500 0.8794
Co 0.1049 0.7500 0.4657
Co 0.3951 0.2500 0.9657
Co 0.6049 0.7500 0.0343
Co 0.8951 0.2500 0.5343

MgGaCo2H after structural relaxation. Source: the Alexandria database, functional GGA-PBE.

* calculated volume: 52.9 Å³/cell
* VASP energy: -0.16522 hartree per atom
* spin magnetization: 0.47 μB/cell
* SG: No. 123

Cell lengths 3.7759, 3.7759, 3.7126 Å; angles 90.00, 90.00, 90.00 degrees
Fractional positions:
Mg 0.0000 0.0000 0.0000
Ga 0.5000 0.5000 0.0000
Co 0.0000 0.5000 0.5000
Co 0.5000 0.0000 0.5000
H 0.0000 0.0000 0.5000

Ca4YCo after structural relaxation. Source: the Alexandria database, functional GGA-PBE.

* calculated volume: 212.6 Å³/cell
* VASP energy: -0.10344 hartree per atom
* spin magnetization: 1.76 μB/cell
* SG: No. 216
* calculated formation energy: 781 meV/atom

Cell lengths 6.6994, 6.6994, 6.6994 Å; angles 60.00, 60.00, 60.00 degrees
Fractional positions:
Ca 0.1247 0.1247 0.1247
Ca 0.1247 0.1247 0.6260
Ca 0.1247 0.6260 0.1247
Ca 0.6260 0.1247 0.1247
Y 0.5000 0.5000 0.5000
Co 0.7500 0.7500 0.7500